This record from Alexandria via LeMat-Bulk describes an optimized crystal structure of Sr2LiPaPd6. The functional is GGA-PBE. Values from VASP.

Properties
energy of formation: -0.374 eV per atom
uncorrected energy: -4.9668 eV per atom

Cell and atoms, written as Quantum ESPRESSO input:
```
&SYSTEM
  ibrav = 0, nat = 10, ntyp = 4
/
ATOMIC_SPECIES
Sr 87.62 Sr.upf
Li 6.94 Li.upf
Pa 231.04 Pa.upf
Pd 106.42 Pd.upf
CELL_PARAMETERS angstrom
-0.9873 5.4460 -4.0062
-0.7849 -4.1118 -5.3999
-5.6252 0.4412 -3.8415
ATOMIC_POSITIONS angstrom
Sr -3.6481 -1.5019 -6.9722
Sr -3.7493 3.2772 -6.2753
Li 0.0000 0.0000 0.0000
Pa -0.8861 0.6671 -4.7030
Pd -0.8323 -1.8727 -5.0734
Pd -6.9818 1.4626 -11.0432
Pd -3.4052 0.5470 -4.2453
Pd -0.9398 3.2068 -4.3327
Pd -0.4155 0.3126 -2.2043
Pd -3.9922 1.2283 -9.0023
```